[1]
A relaxed SmPu3Zn8 crystal, computed with PBE.

Energy of formation ... -192 meV/atom
DOS(E_F) ... 1.955 states/eV per atom
SG ... P3m1, No. 156

Unit cell a=5.528 b=5.526 c=8.735 alpha=90.00 beta=90.00 gamma=120.01
Sites, in units of the cell vectors:
Zn  0.333  0.667  0.501
Zn  0.167  0.335  0.250
Zn  0.500  0.499  0.749
Zn  0.999  0.499  0.749
Zn  0.665  0.833  0.250
Zn  0.501  0.001  0.749
Zn  0.333  0.667  0.000
Zn  0.168  0.833  0.250
Pu  0.667  0.334  0.428
Pu  0.000  0.000  0.949
Pu  0.667  0.334  0.059
Sm  0.000  0.000  0.565

---

[2]
A relaxed Pm2TaAs3Rh4 crystal, computed with PBE.

Energy of formation ... -865 meV/atom
DOS(E_F) ... 0.536 states/eV per atom
SG ... P-4m2, No. 115

Unit cell a=4.147 b=4.147 c=10.832 alpha=90.00 beta=90.00 gamma=90.00
Sites, in units of the cell vectors:
Rh  0.500  0.000  0.636
Rh  0.000  0.500  0.364
Rh  0.000  0.000  0.000
Rh  0.500  0.500  0.000
Pm  0.500  0.000  0.231
Pm  0.000  0.500  0.769
As  0.500  0.000  0.863
As  0.000  0.000  0.500
As  0.000  0.500  0.137
Ta  0.500  0.500  0.500

---

[3]
A relaxed NbV2Te2Se4 crystal, computed with PBE.

DOS(E_F) ... 0.594 states/eV per atom
Raw formation energy ... -583 meV per atom
SG ... P3m1, No. 156

Unit cell a=3.430 b=3.430 c=22.399 alpha=90.00 beta=90.00 gamma=120.00
Sites, in units of the cell vectors:
Se  0.667  0.333  0.898
Se  0.667  0.333  0.039
Se  0.000  0.000  0.732
Se  0.000  0.000  0.591
Te  0.667  0.333  0.241
Te  0.667  0.333  0.418
V  0.667  0.333  0.662
V  0.000  0.000  0.968
Nb  0.000  0.000  0.329

---

[4]
A relaxed BaAg12 crystal, computed with PBE.

Energy of formation ... -44 meV/atom
DOS(E_F) ... 0.253 states/eV per atom
SG ... I4/mmm, No. 139

Unit cell a=5.604 b=7.456 c=7.456 alpha=81.88 beta=67.93 gamma=67.93
Sites, in units of the cell vectors:
Ag  0.271  0.229  0.229
Ag  0.000  0.000  0.500
Ag  0.356  0.644  0.644
Ag  0.500  0.771  0.229
Ag  0.000  0.500  0.000
Ag  0.729  0.771  0.771
Ag  0.000  0.356  0.644
Ag  0.500  0.500  0.000
Ag  0.500  0.000  0.500
Ag  0.000  0.644  0.356
Ag  0.644  0.356  0.356
Ag  0.500  0.229  0.771
Ba  0.000  0.000  0.000

---

> Which formula does entry 3 have?

NbV2Te2Se4

---

> What is the DOS(E_F) in the fourth record?

0.253 states/eV per atom